(1)
# PBE-GGA Lu3MgFe, relaxed
data_Lu3MgFe
_chemical_formula_sum 'Lu3 Mg1 Fe1'
_symmetry_space_group_name_H-M 'P 1'
_symmetry_Int_Tables_number 1
_symmetry_space_group_name_Hall 'P 1'
_cell_length_a 5.090
_cell_length_b 5.090
_cell_length_c 5.090
_cell_angle_alpha 90.00
_cell_angle_beta 90.00
_cell_angle_gamma 90.00
loop_
_atom_site_label
_atom_site_type_symbol
_atom_site_fract_x
_atom_site_fract_y
_atom_site_fract_z
_atom_site_occupancy
Lu1 Lu 0.000 0.000 0.500 1
Lu2 Lu 0.000 0.500 0.000 1
Lu3 Lu 0.500 0.000 0.000 1
Mg1 Mg 0.500 0.500 0.500 1
Fe1 Fe 0.000 0.000 0.000 1
# Final energy in eV per atom: -4.670
# ρ in g/cm3: 7.6
# SG: Pm-3m

---

(2)
# PBE-GGA LuMgZrFe, relaxed
data_LuMgZrFe
_chemical_formula_sum 'Lu1 Mg1 Zr1 Fe1'
_symmetry_space_group_name_H-M 'P 1'
_symmetry_Int_Tables_number 1
_symmetry_space_group_name_Hall 'P 1'
_cell_length_a 4.799
_cell_length_b 4.799
_cell_length_c 4.799
_cell_angle_alpha 60.00
_cell_angle_beta 60.00
_cell_angle_gamma 60.00
loop_
_atom_site_label
_atom_site_type_symbol
_atom_site_fract_x
_atom_site_fract_y
_atom_site_fract_z
_atom_site_occupancy
Lu1 Lu 0.000 0.000 0.000 1
Mg1 Mg 0.750 0.750 0.750 1
Zr1 Zr 0.500 0.500 0.500 1
Fe1 Fe 0.250 0.250 0.250 1
# Final energy in eV per atom: -5.694
# ρ in g/cm3: 7.4
# SG: F-43m

---

(3)
# PBE-GGA Lu2MnFe, relaxed
data_Lu2MnFe
_chemical_formula_sum 'Lu2 Mn1 Fe1'
_symmetry_space_group_name_H-M 'P 1'
_symmetry_Int_Tables_number 1
_symmetry_space_group_name_Hall 'P 1'
_cell_length_a 3.303
_cell_length_b 3.303
_cell_length_c 6.870
_cell_angle_alpha 90.00
_cell_angle_beta 90.00
_cell_angle_gamma 90.00
loop_
_atom_site_label
_atom_site_type_symbol
_atom_site_fract_x
_atom_site_fract_y
_atom_site_fract_z
_atom_site_occupancy
Lu1 Lu 0.000 0.000 0.229 1
Lu2 Lu 0.000 0.000 0.771 1
Mn1 Mn 0.500 0.500 0.500 1
Fe1 Fe 0.500 0.500 0.000 1
# Final energy in eV per atom: -6.562
# ρ in g/cm3: 10.2
# SG: P4/mmm
# Excess energy over the best structure of this formula in the dataset in eV per atom: 0.0000

---

(4)
# PBE-GGA Lu2MnFe, relaxed
data_Lu2MnFe
_chemical_formula_sum 'Lu2 Mn1 Fe1'
_symmetry_space_group_name_H-M 'P 1'
_symmetry_Int_Tables_number 1
_symmetry_space_group_name_Hall 'P 1'
_cell_length_a 4.771
_cell_length_b 4.771
_cell_length_c 4.771
_cell_angle_alpha 60.00
_cell_angle_beta 60.00
_cell_angle_gamma 60.00
loop_
_atom_site_label
_atom_site_type_symbol
_atom_site_fract_x
_atom_site_fract_y
_atom_site_fract_z
_atom_site_occupancy
Lu1 Lu 0.250 0.250 0.250 1
Lu2 Lu 0.750 0.750 0.750 1
Mn1 Mn 0.000 0.000 0.000 1
Fe1 Fe 0.500 0.500 0.500 1
# Final energy in eV per atom: -6.558
# ρ in g/cm3: 10.0
# SG: Fm-3m
# Excess energy over the best structure of this formula in the dataset in eV per atom: 0.0041

---

(5)
# PBE-GGA Lu2MnFe, relaxed
data_Lu2MnFe
_chemical_formula_sum 'Lu2 Mn1 Fe1'
_symmetry_space_group_name_H-M 'P 1'
_symmetry_Int_Tables_number 1
_symmetry_space_group_name_Hall 'P 1'
_cell_length_a 9.785
_cell_length_b 9.785
_cell_length_c 9.785
_cell_angle_alpha 18.91
_cell_angle_beta 18.91
_cell_angle_gamma 18.91
loop_
_atom_site_label
_atom_site_type_symbol
_atom_site_fract_x
_atom_site_fract_y
_atom_site_fract_z
_atom_site_occupancy
Lu1 Lu 0.100 0.100 0.100 1
Lu2 Lu 0.900 0.900 0.900 1
Mn1 Mn 0.000 0.000 0.000 1
Fe1 Fe 0.500 0.500 0.500 1
# Final energy in eV per atom: -6.085
# ρ in g/cm3: 8.9
# SG: R-3m
# Excess energy over the best structure of this formula in the dataset in eV per atom: 0.4769

---

(6)
# PBE-GGA LuPuMnFe, relaxed
data_LuPuMnFe
_chemical_formula_sum 'Lu1 Pu1 Mn1 Fe1'
_symmetry_space_group_name_H-M 'P 1'
_symmetry_Int_Tables_number 1
_symmetry_space_group_name_Hall 'P 1'
_cell_length_a 4.684
_cell_length_b 4.684
_cell_length_c 4.684
_cell_angle_alpha 60.00
_cell_angle_beta 60.00
_cell_angle_gamma 60.00
loop_
_atom_site_label
_atom_site_type_symbol
_atom_site_fract_x
_atom_site_fract_y
_atom_site_fract_z
_atom_site_occupancy
Lu1 Lu 0.000 0.000 0.000 1
Pu1 Pu 0.500 0.500 0.500 1
Mn1 Mn 0.250 0.250 0.250 1
Fe1 Fe 0.750 0.750 0.750 1
# Final energy in eV per atom: -9.082
# ρ in g/cm3: 12.1
# SG: F-43m

---

(7)
# PBE-GGA LuScMnFe, relaxed
data_LuScMnFe
_chemical_formula_sum 'Lu1 Sc1 Mn1 Fe1'
_symmetry_space_group_name_H-M 'P 1'
_symmetry_Int_Tables_number 1
_symmetry_space_group_name_Hall 'P 1'
_cell_length_a 4.655
_cell_length_b 4.655
_cell_length_c 4.655
_cell_angle_alpha 60.00
_cell_angle_beta 60.00
_cell_angle_gamma 60.00
loop_
_atom_site_label
_atom_site_type_symbol
_atom_site_fract_x
_atom_site_fract_y
_atom_site_fract_z
_atom_site_occupancy
Lu1 Lu 0.000 0.000 0.000 1
Sc1 Sc 0.500 0.500 0.500 1
Mn1 Mn 0.250 0.250 0.250 1
Fe1 Fe 0.750 0.750 0.750 1
# Final energy in eV per atom: -7.043
# ρ in g/cm3: 7.7
# SG: F-43m

---

(8)
# PBE-GGA LuFe4Mo, relaxed
data_LuFe4Mo
_chemical_formula_sum 'Lu1 Fe4 Mo1'
_symmetry_space_group_name_H-M 'P 1'
_symmetry_Int_Tables_number 1
_symmetry_space_group_name_Hall 'P 1'
_cell_length_a 4.890
_cell_length_b 4.890
_cell_length_c 4.890
_cell_angle_alpha 60.00
_cell_angle_beta 60.00
_cell_angle_gamma 60.00
loop_
_atom_site_label
_atom_site_type_symbol
_atom_site_fract_x
_atom_site_fract_y
_atom_site_fract_z
_atom_site_occupancy
Lu1 Lu 0.000 0.000 0.000 1
Fe1 Fe 0.376 0.376 0.376 1
Fe2 Fe 0.376 0.376 0.873 1
Fe3 Fe 0.376 0.873 0.376 1
Fe4 Fe 0.873 0.376 0.376 1
Mo1 Mo 0.750 0.750 0.750 1
# Final energy in eV per atom: -8.190
# ρ in g/cm3: 9.9
# SG: F-43m

---

(9)
# PBE-GGA LuFe10Mo2, relaxed
data_LuFe10Mo2
_chemical_formula_sum 'Lu1 Fe10 Mo2'
_symmetry_space_group_name_H-M 'P 1'
_symmetry_Int_Tables_number 1
_symmetry_space_group_name_Hall 'P 1'
_cell_length_a 6.460
_cell_length_b 6.460
_cell_length_c 6.460
_cell_angle_alpha 137.12
_cell_angle_beta 98.17
_cell_angle_gamma 97.19
loop_
_atom_site_label
_atom_site_type_symbol
_atom_site_fract_x
_atom_site_fract_y
_atom_site_fract_z
_atom_site_occupancy
Lu1 Lu 0.000 0.000 0.000 1
Fe1 Fe 0.000 0.000 0.500 1
Fe2 Fe 0.000 0.500 0.000 1
Fe3 Fe 0.213 0.500 0.713 1
Fe4 Fe 0.225 0.725 0.500 1
Fe5 Fe 0.356 0.000 0.356 1
Fe6 Fe 0.500 0.000 0.000 1
Fe7 Fe 0.500 0.500 0.500 1
Fe8 Fe 0.644 0.000 0.644 1
Fe9 Fe 0.775 0.275 0.500 1
Fe10 Fe 0.787 0.500 0.287 1
Mo1 Mo 0.357 0.357 0.000 1
Mo2 Mo 0.643 0.643 0.000 1
# Final energy in eV per atom: -8.546
# ρ in g/cm3: 9.0
# SG: Immm

---

(10)
# PBE-GGA LuNbFe2, relaxed
data_LuNbFe2
_chemical_formula_sum 'Lu1 Nb1 Fe2'
_symmetry_space_group_name_H-M 'P 1'
_symmetry_Int_Tables_number 1
_symmetry_space_group_name_Hall 'P 1'
_cell_length_a 4.451
_cell_length_b 4.451
_cell_length_c 3.116
_cell_angle_alpha 90.00
_cell_angle_beta 90.00
_cell_angle_gamma 90.00
loop_
_atom_site_label
_atom_site_type_symbol
_atom_site_fract_x
_atom_site_fract_y
_atom_site_fract_z
_atom_site_occupancy
Lu1 Lu 0.000 0.000 0.000 1
Nb1 Nb 0.500 0.500 0.000 1
Fe1 Fe 0.000 0.500 0.500 1
Fe2 Fe 0.500 0.000 0.500 1
# Final energy in eV per atom: -7.851
# ρ in g/cm3: 10.2
# SG: P4/mmm
# Excess energy over the best structure of this formula in the dataset in eV per atom: 0.0202

---

(11)
# PBE-GGA LuNbFe4, relaxed
data_LuNbFe4
_chemical_formula_sum 'Lu1 Nb1 Fe4'
_symmetry_space_group_name_H-M 'P 1'
_symmetry_Int_Tables_number 1
_symmetry_space_group_name_Hall 'P 1'
_cell_length_a 4.945
_cell_length_b 4.945
_cell_length_c 4.945
_cell_angle_alpha 60.00
_cell_angle_beta 60.00
_cell_angle_gamma 60.00
loop_
_atom_site_label
_atom_site_type_symbol
_atom_site_fract_x
_atom_site_fract_y
_atom_site_fract_z
_atom_site_occupancy
Lu1 Lu 0.000 0.000 0.000 1
Nb1 Nb 0.250 0.250 0.250 1
Fe1 Fe 0.126 0.625 0.625 1
Fe2 Fe 0.625 0.126 0.625 1
Fe3 Fe 0.625 0.625 0.126 1
Fe4 Fe 0.625 0.625 0.625 1
# Final energy in eV per atom: -8.220
# ρ in g/cm3: 9.5
# SG: F-43m

---

(12)
# PBE-GGA LuNbFe2, relaxed
data_LuNbFe2
_chemical_formula_sum 'Lu1 Nb1 Fe2'
_symmetry_space_group_name_H-M 'P 1'
_symmetry_Int_Tables_number 1
_symmetry_space_group_name_Hall 'P 1'
_cell_length_a 3.113
_cell_length_b 3.113
_cell_length_c 6.474
_cell_angle_alpha 90.00
_cell_angle_beta 90.00
_cell_angle_gamma 90.00
loop_
_atom_site_label
_atom_site_type_symbol
_atom_site_fract_x
_atom_site_fract_y
_atom_site_fract_z
_atom_site_occupancy
Lu1 Lu 0.000 0.000 0.000 1
Nb1 Nb 0.000 0.000 0.500 1
Fe1 Fe 0.500 0.500 0.280 1
Fe2 Fe 0.500 0.500 0.720 1
# Final energy in eV per atom: -7.855
# ρ in g/cm3: 10.0
# SG: P4/mmm
# Excess energy over the best structure of this formula in the dataset in eV per atom: 0.0158

---

(13)
# PBE-GGA LuNbFe2, relaxed
data_LuNbFe2
_chemical_formula_sum 'Lu1 Nb1 Fe2'
_symmetry_space_group_name_H-M 'P 1'
_symmetry_Int_Tables_number 1
_symmetry_space_group_name_Hall 'P 1'
_cell_length_a 4.437
_cell_length_b 4.437
_cell_length_c 4.437
_cell_angle_alpha 60.00
_cell_angle_beta 60.00
_cell_angle_gamma 60.00
loop_
_atom_site_label
_atom_site_type_symbol
_atom_site_fract_x
_atom_site_fract_y
_atom_site_fract_z
_atom_site_occupancy
Lu1 Lu 0.000 0.000 0.000 1
Nb1 Nb 0.500 0.500 0.500 1
Fe1 Fe 0.250 0.250 0.250 1
Fe2 Fe 0.750 0.750 0.750 1
# Final energy in eV per atom: -7.871
# ρ in g/cm3: 10.2
# SG: Fm-3m
# Excess energy over the best structure of this formula in the dataset in eV per atom: 0.0000

---

(14)
# PBE-GGA LuNbFeNi, relaxed
data_LuNbFeNi
_chemical_formula_sum 'Lu1 Nb1 Fe1 Ni1'
_symmetry_space_group_name_H-M 'P 1'
_symmetry_Int_Tables_number 1
_symmetry_space_group_name_Hall 'P 1'
_cell_length_a 4.485
_cell_length_b 4.485
_cell_length_c 4.485
_cell_angle_alpha 60.00
_cell_angle_beta 60.00
_cell_angle_gamma 60.00
loop_
_atom_site_label
_atom_site_type_symbol
_atom_site_fract_x
_atom_site_fract_y
_atom_site_fract_z
_atom_site_occupancy
Lu1 Lu 0.000 0.000 0.000 1
Nb1 Nb 0.500 0.500 0.500 1
Fe1 Fe 0.750 0.750 0.750 1
Ni1 Ni 0.250 0.250 0.250 1
# Final energy in eV per atom: -7.276
# ρ in g/cm3: 10.0
# SG: F-43m